*i*
Compound: CaIn4Hg
Source: Alexandria via LeMat-Bulk
Functional: GGA-PBE
Structure: relaxed

Unit cell a=6.2004 b=6.2004 c=6.2004 alpha=60.00 beta=60.00 gamma=60.00
Last column: nearest neighbours and their distance in Å.
Element x y z (fractional)
1 Ca 0.0000 0.0000 0.0000  12 In 3.64, 4 Hg 3.80
2 In 0.3751 0.3751 0.3751  6 In 3.10
3 In 0.3751 0.3751 0.8746  6 In 3.10
4 In 0.3751 0.8746 0.3751  6 In 3.10
5 In 0.8746 0.3751 0.3751  6 In 3.10
6 Hg 0.7500 0.7500 0.7500  12 In 3.63, 4 Ca 3.80

Computed properties:
Fermi-level density of states   4.720 states/eV/f.u.
Size of the total moment   0.0000 μB per atom



*ii*
Compound: CaIn4Hg
Source: Alexandria via LeMat-Bulk
Functional: GGA-PBE
Structure: relaxed

Unit cell a=11.4090 b=5.1592 c=6.5604 alpha=90.00 beta=124.30 gamma=90.00
Last column: nearest neighbours and their distance in Å.
Element x y z (fractional)
1 Ca 0.0000 0.0000 0.0000  2 Hg 3.28, 12 In 3.42-3.56
2 Ca 0.5000 0.5000 0.0000  2 Hg 3.28, 12 In 3.42-3.56
3 In 0.1662 0.5000 0.4181  5 In 3.02-3.28
4 In 0.1672 0.5000 0.9189  5 In 3.02-3.28
5 In 0.3328 0.0000 0.0811  5 In 3.02-3.28
6 In 0.3338 0.0000 0.5819  5 In 3.02-3.28
7 In 0.6662 0.0000 0.4181  5 In 3.02-3.28
8 In 0.6672 0.0000 0.9189  5 In 3.02-3.28
9 In 0.8328 0.5000 0.0811  5 In 3.02-3.28
10 In 0.8338 0.5000 0.5819  5 In 3.02-3.28
11 Hg 0.0000 0.0000 0.5000  2 Ca 3.28, 12 In 3.42-3.55
12 Hg 0.5000 0.5000 0.5000  2 Ca 3.28, 12 In 3.42-3.55

Computed properties:
Fermi-level density of states   2.741 states/eV/f.u.
Size of the total moment   0.0000 μB per atom



Of them, *ii* has the highest stability.



*i*
Compound: Ca3InHg
Source: Alexandria via LeMat-Bulk
Functional: GGA-PBE
Structure: relaxed

Unit cell a=10.6633 b=10.6633 c=5.4702 alpha=90.00 beta=90.00 gamma=150.28
Last column: nearest neighbours and their distance in Å.
Element x y z (fractional)
1 Ca 0.0691 0.9309 0.7500  2 Hg 3.26, 2 In 3.27
2 Ca 0.2495 0.7505 0.7500  4 In 3.34-3.35, 4 Hg 3.35-3.37, 2 Ca 3.71-3.72
3 Ca 0.4296 0.5704 0.7500  2 Hg 3.25, 2 In 3.26
4 Ca 0.5704 0.4296 0.2500  2 Hg 3.25, 2 In 3.26
5 Ca 0.7505 0.2495 0.2500  4 In 3.34-3.35, 4 Hg 3.35-3.37, 2 Ca 3.71-3.72
6 Ca 0.9309 0.0691 0.2500  2 Hg 3.26, 2 In 3.27
7 In 0.1563 0.8437 0.2500  8 Ca 3.26-3.35
8 In 0.8437 0.1563 0.7500  8 Ca 3.26-3.35
9 Hg 0.3447 0.6553 0.2500  8 Ca 3.25-3.37
10 Hg 0.6553 0.3447 0.7500  8 Ca 3.25-3.37

Computed properties:
Fermi-level density of states   3.238 states/eV/f.u.
Size of the total moment   0.0000 μB per atom



*ii*
Compound: Ca3InHg
Source: Alexandria via LeMat-Bulk
Functional: GGA-PBE
Structure: relaxed

Unit cell a=5.8165 b=5.8165 c=5.8165 alpha=90.00 beta=90.00 gamma=90.00
Last column: nearest neighbours and their distance in Å.
Element x y z (fractional)
1 Ca 0.0000 0.0000 0.5000  2 Hg 2.91
2 Ca 0.0000 0.5000 0.0000  2 Hg 2.91
3 Ca 0.5000 0.0000 0.0000  2 Hg 2.91
4 In 0.5000 0.5000 0.5000  12 Ca 4.11
5 Hg 0.0000 0.0000 0.0000  6 Ca 2.91

Computed properties:
Fermi-level density of states   7.054 states/eV/f.u.
Size of the total moment   0.0000 μB per atom



Of them, *i* has the highest stability.



*i*
Compound: Ca4InHg
Source: Alexandria via LeMat-Bulk
Functional: GGA-PBE
Structure: relaxed

Unit cell a=13.6270 b=3.8882 c=7.7269 alpha=90.00 beta=106.43 gamma=90.00
Last column: nearest neighbours and their distance in Å.
Element x y z (fractional)
1 Ca 0.1386 0.0000 0.3222  2 Hg 3.27, 2 In 3.30, 1 Ca 3.65
2 Ca 0.1404 0.0000 0.8175  2 Hg 3.29, 2 In 3.31, 1 Ca 3.65
3 Ca 0.3596 0.5000 0.1825  2 Hg 3.29, 2 In 3.31, 1 Ca 3.65
4 Ca 0.3614 0.5000 0.6778  2 Hg 3.27, 2 In 3.30, 1 Ca 3.65
5 Ca 0.6386 0.5000 0.3222  2 Hg 3.27, 2 In 3.30, 1 Ca 3.65
6 Ca 0.6404 0.5000 0.8175  2 Hg 3.29, 2 In 3.31, 1 Ca 3.65
7 Ca 0.8596 0.0000 0.1825  2 Hg 3.29, 2 In 3.31, 1 Ca 3.65
8 Ca 0.8614 0.0000 0.6778  2 Hg 3.27, 2 In 3.30, 1 Ca 3.65
9 In 0.0000 0.5000 0.0000  8 Ca 3.30-3.31
10 In 0.5000 0.0000 0.0000  8 Ca 3.30-3.31
11 Hg 0.0000 0.5000 0.5000  8 Ca 3.27-3.29
12 Hg 0.5000 0.0000 0.5000  8 Ca 3.27-3.29

Computed properties:
Fermi-level density of states   4.225 states/eV/f.u.
Size of the total moment   0.0000 μB per atom



*ii*
Compound: Ca4InHg
Source: Alexandria via LeMat-Bulk
Functional: GGA-PBE
Structure: relaxed

Unit cell a=8.7611 b=8.7611 c=6.7331 alpha=106.26 beta=106.26 gamma=111.99
Last column: nearest neighbours and their distance in Å.
Element x y z (fractional)
1 Ca 0.0556 0.6962 0.9144  2 Hg 3.27-3.29, 2 In 3.34
2 Ca 0.2394 0.3655 0.7172  2 Hg 3.18-3.22, 2 In 3.27-3.40
3 Ca 0.3038 0.9444 0.5856  2 Hg 3.27-3.29, 2 In 3.34
4 Ca 0.3655 0.2394 0.2172  2 Hg 3.18-3.22, 2 In 3.27-3.40
5 Ca 0.6345 0.7606 0.7828  2 Hg 3.18-3.22, 2 In 3.27-3.40
6 Ca 0.6962 0.0556 0.4144  2 Hg 3.27-3.29, 2 In 3.34
7 Ca 0.7606 0.6345 0.2828  2 Hg 3.18-3.22, 2 In 3.27-3.40
8 Ca 0.9444 0.3038 0.0856  2 Hg 3.27-3.29, 2 In 3.34
9 In 0.3661 0.6339 0.2500  8 Ca 3.27-3.40
10 In 0.6339 0.3661 0.7500  8 Ca 3.27-3.40
11 Hg 0.0025 0.9975 0.7500  8 Ca 3.18-3.29, 2 Hg 3.37
12 Hg 0.9975 0.0025 0.2500  8 Ca 3.18-3.29, 2 Hg 3.37

Computed properties:
Fermi-level density of states   5.863 states/eV/f.u.
Size of the total moment   0.0000 μB per atom



*iii*
Compound: Ca4InHg
Source: Alexandria via LeMat-Bulk
Functional: GGA-PBE
Structure: relaxed

Unit cell a=6.7215 b=6.7215 c=6.7215 alpha=60.00 beta=60.00 gamma=60.00
Last column: nearest neighbours and their distance in Å.
Element x y z (fractional)
1 Ca 0.1254 0.1254 0.1254  6 Ca 3.35-3.37
2 Ca 0.1254 0.1254 0.6237  6 Ca 3.35-3.37
3 Ca 0.1254 0.6237 0.1254  6 Ca 3.35-3.37
4 Ca 0.6237 0.1254 0.1254  6 Ca 3.35-3.37
5 In 0.5000 0.5000 0.5000  12 Ca 3.94, 4 Hg 4.12
6 Hg 0.7500 0.7500 0.7500  12 Ca 3.94, 4 In 4.12

Computed properties:
Fermi-level density of states   7.810 states/eV/f.u.
Size of the total moment   0.0005 μB per atom



Of them, *i* has the highest stability.



*i*
Compound: Ca3InHg4
Source: Alexandria via LeMat-Bulk
Functional: GGA-PBE
Structure: relaxed

Unit cell a=3.9614 b=7.8321 c=14.9781 alpha=90.00 beta=90.00 gamma=90.00
Last column: nearest neighbours and their distance in Å.
Element x y z (fractional)
1 Ca 0.0000 0.0000 0.0000  8 Hg 3.23
2 Ca 0.0000 0.5000 0.1844  6 Hg 3.11-3.17, 2 In 3.40
3 Ca 0.0000 0.5000 0.8156  6 Hg 3.11-3.17, 2 In 3.40
4 Ca 0.5000 0.0000 0.3156  6 Hg 3.11-3.17, 2 In 3.40
5 Ca 0.5000 0.0000 0.6844  6 Hg 3.11-3.17, 2 In 3.40
6 Ca 0.5000 0.5000 0.5000  8 Hg 3.23
7 In 0.0000 0.0000 0.5000  4 Hg 3.12, 4 Ca 3.40
8 In 0.5000 0.5000 0.0000  4 Hg 3.12, 4 Ca 3.40
9 Hg 0.0000 0.3024 0.3647  1 Hg 3.10, 5 Ca 3.11-3.23, 1 In 3.12
10 Hg 0.0000 0.3024 0.6353  1 Hg 3.10, 5 Ca 3.11-3.23, 1 In 3.12
11 Hg 0.0000 0.6976 0.3647  1 Hg 3.10, 5 Ca 3.11-3.23, 1 In 3.12
12 Hg 0.0000 0.6976 0.6353  1 Hg 3.10, 5 Ca 3.11-3.23, 1 In 3.12
13 Hg 0.5000 0.1976 0.1353  1 Hg 3.10, 5 Ca 3.11-3.23, 1 In 3.12
14 Hg 0.5000 0.1976 0.8647  1 Hg 3.10, 5 Ca 3.11-3.23, 1 In 3.12
15 Hg 0.5000 0.8024 0.1353  1 Hg 3.10, 5 Ca 3.11-3.23, 1 In 3.12
16 Hg 0.5000 0.8024 0.8647  1 Hg 3.10, 5 Ca 3.11-3.23, 1 In 3.12

Computed properties:
Fermi-level density of states   3.271 states/eV/f.u.
Size of the total moment   0.0000 μB per atom



*ii*
Compound: Ca3InHg4
Source: Alexandria via LeMat-Bulk
Functional: GGA-PBE
Structure: relaxed

Unit cell a=9.2816 b=9.2816 c=9.2816 alpha=33.01 beta=33.01 gamma=33.01
Last column: nearest neighbours and their distance in Å.
Element x y z (fractional)
1 Ca 0.0000 0.0000 0.0000  8 Hg 3.19-3.20
2 Ca 0.2438 0.2438 0.2438  8 Hg 3.16-3.34
3 Ca 0.7562 0.7562 0.7562  8 Hg 3.16-3.34
4 In 0.5000 0.5000 0.5000  8 Hg 3.27-3.41, 6 Ca 3.66
5 Hg 0.1211 0.1211 0.1211  5 Ca 3.16-3.23, 3 In 3.27
6 Hg 0.3704 0.3704 0.3704  7 Ca 3.20-3.34, 1 In 3.41
7 Hg 0.6296 0.6296 0.6296  7 Ca 3.20-3.34, 1 In 3.41
8 Hg 0.8789 0.8789 0.8789  5 Ca 3.16-3.23, 3 In 3.27

Computed properties:
Fermi-level density of states   4.738 states/eV/f.u.
Size of the total moment   0.0000 μB per atom



Of them, *ii* has the highest stability.



*i*
Compound: Ca2In3Hg8
Source: Alexandria via LeMat-Bulk
Functional: GGA-PBE
Structure: relaxed

Unit cell a=8.2634 b=8.2634 c=6.3824 alpha=98.44 beta=98.44 gamma=57.52
Last column: nearest neighbours and their distance in Å.
Element x y z (fractional)
1 Ca 0.2023 0.2023 0.2695  7 Hg 3.11-3.27
2 Ca 0.7977 0.7977 0.7305  7 Hg 3.11-3.27
3 In 0.0000 0.0000 0.5000  6 Hg 3.04-3.16
4 In 0.1942 0.8058 0.0000  4 Hg 3.00-3.30, 1 In 3.09
5 In 0.8058 0.1942 0.0000  4 Hg 3.00-3.30, 1 In 3.09
6 Hg 0.2003 0.5691 0.5346  2 Hg 2.93-3.28, 1 In 3.04, 2 Ca 3.16-3.24
7 Hg 0.2017 0.2017 0.7817  3 Hg 3.03-3.33, 2 Ca 3.11-3.27, 1 In 3.16
8 Hg 0.3889 0.3889 0.0766  2 In 3.00, 3 Hg 3.03-3.28, 1 Ca 3.15
9 Hg 0.4309 0.7997 0.4654  2 Hg 2.93-3.28, 1 In 3.04, 2 Ca 3.16-3.24
10 Hg 0.5691 0.2003 0.5346  2 Hg 2.93-3.28, 1 In 3.04, 2 Ca 3.16-3.24
11 Hg 0.6111 0.6111 0.9234  2 In 3.00, 3 Hg 3.03-3.28, 1 Ca 3.15
12 Hg 0.7983 0.7983 0.2183  3 Hg 3.03-3.33, 2 Ca 3.11-3.27, 1 In 3.16
13 Hg 0.7997 0.4309 0.4654  2 Hg 2.93-3.28, 1 In 3.04, 2 Ca 3.16-3.24

Computed properties:
Fermi-level density of states   6.405 states/eV/f.u.
Size of the total moment   0.0000 μB per atom



*ii*
Compound: Ca2In3Hg8
Source: Alexandria via LeMat-Bulk
Functional: GGA-PBE
Structure: relaxed

Unit cell a=8.2740 b=8.2740 c=5.3926 alpha=102.33 beta=102.33 gamma=82.37
Last column: nearest neighbours and their distance in Å.
Element x y z (fractional)
1 Ca 0.2070 0.2070 0.3578  9 Hg 3.11-3.29
2 Ca 0.7930 0.7930 0.6422  9 Hg 3.11-3.29
3 In 0.2544 0.7456 0.0000  8 Hg 3.12-3.41
4 In 0.5000 0.5000 0.5000  8 Hg 3.10-3.40
5 In 0.7456 0.2544 0.0000  8 Hg 3.12-3.41
6 Hg 0.0675 0.0675 0.7786  4 Hg 3.00-3.29, 3 Ca 3.11-3.29, 2 In 3.22
7 Hg 0.0985 0.5936 0.3659  3 In 3.12-3.41, 2 Hg 3.13, 2 Ca 3.20-3.28
8 Hg 0.3489 0.3489 0.9342  4 In 3.10-3.40, 2 Ca 3.11-3.26, 1 Hg 3.36
9 Hg 0.4064 0.9015 0.6341  3 In 3.12-3.41, 2 Hg 3.13, 2 Ca 3.20-3.28
10 Hg 0.5936 0.0985 0.3659  3 In 3.12-3.41, 2 Hg 3.13, 2 Ca 3.20-3.28
11 Hg 0.6511 0.6511 0.0658  4 In 3.10-3.40, 2 Ca 3.11-3.26, 1 Hg 3.36
12 Hg 0.9015 0.4064 0.6341  3 In 3.12-3.41, 2 Hg 3.13, 2 Ca 3.20-3.28
13 Hg 0.9325 0.9325 0.2214  4 Hg 3.00-3.29, 3 Ca 3.11-3.29, 2 In 3.22

Computed properties:
Fermi-level density of states   4.852 states/eV/f.u.
Size of the total moment   0.0000 μB per atom



Of them, *ii* has the highest stability.



*i*
Compound: CaIn4Hg8
Source: Alexandria via LeMat-Bulk
Functional: GGA-PBE
Structure: relaxed

Unit cell a=8.3130 b=8.3130 c=8.3130 alpha=60.00 beta=60.00 gamma=60.00
Last column: nearest neighbours and their distance in Å.
Element x y z (fractional)
1 Ca 0.0000 0.0000 0.0000  4 Hg 2.97
2 In 0.1995 0.6002 0.6002  6 Hg 3.08-3.14, 3 In 3.33
3 In 0.6002 0.1995 0.6002  6 Hg 3.08-3.14, 3 In 3.33
4 In 0.6002 0.6002 0.1995  6 Hg 3.08-3.14, 3 In 3.33
5 In 0.6002 0.6002 0.6002  6 Hg 3.08-3.14, 3 In 3.33
6 Hg 0.3445 0.3445 0.3445  3 Hg 3.14, 3 In 3.14
7 Hg 0.3445 0.3445 0.9666  3 Hg 3.14, 3 In 3.14
8 Hg 0.3445 0.9666 0.3445  3 Hg 3.14, 3 In 3.14
9 Hg 0.4369 0.8544 0.8544  1 Ca 2.97, 3 In 3.08
10 Hg 0.8544 0.4369 0.8544  1 Ca 2.97, 3 In 3.08
11 Hg 0.8544 0.8544 0.4369  1 Ca 2.97, 3 In 3.08
12 Hg 0.8544 0.8544 0.8544  1 Ca 2.97, 3 In 3.08
13 Hg 0.9666 0.3445 0.3445  3 Hg 3.14, 3 In 3.14

Computed properties:
Fermi-level density of states   6.444 states/eV/f.u.
Size of the total moment   0.0000 μB per atom



*ii*
Compound: CaIn4Hg8
Source: Alexandria via LeMat-Bulk
Functional: GGA-PBE
Structure: relaxed

Unit cell a=7.3155 b=7.3155 c=8.8585 alpha=90.00 beta=90.00 gamma=120.00
Last column: nearest neighbours and their distance in Å.
Element x y z (fractional)
1 Ca 0.0000 0.0000 0.0000  6 Hg 3.34
2 In 0.3333 0.6667 0.3268  4 Hg 2.88-2.90, 1 In 3.07
3 In 0.3333 0.6667 0.6732  4 Hg 2.88-2.90, 1 In 3.07
4 In 0.6667 0.3333 0.3268  4 Hg 2.88-2.90, 1 In 3.07
5 In 0.6667 0.3333 0.6732  4 Hg 2.88-2.90, 1 In 3.07
6 Hg 0.0000 0.2330 0.6754  2 In 2.88, 2 Hg 2.95
7 Hg 0.0000 0.7670 0.3246  2 In 2.88, 2 Hg 2.95
8 Hg 0.2330 0.0000 0.6754  2 In 2.88, 2 Hg 2.95
9 Hg 0.2330 0.2330 0.3246  2 In 2.88, 2 Hg 2.95
10 Hg 0.3333 0.6667 0.0000  2 In 2.90
11 Hg 0.6667 0.3333 0.0000  2 In 2.90
12 Hg 0.7670 0.0000 0.3246  2 In 2.88, 2 Hg 2.95
13 Hg 0.7670 0.7670 0.6754  2 In 2.88, 2 Hg 2.95

Computed properties:
Fermi-level density of states   8.431 states/eV/f.u.
Size of the total moment   0.0000 μB per atom



Of them, *i* has the highest stability.